VASP calculation (PBE with a Hubbard U) on VCoSbO6 after structural relaxation.

The structure in extended XYZ format:
```
18
Lattice="5.106 0.000 0.000 -2.553 4.422 0.000 0.000 0.000 9.002" Properties=species:S:1:pos:R:3 pbc="T T T"
V 0.000 2.948 2.251
V 2.553 1.474 6.752
Co 0.000 0.000 0.000
Co 0.000 0.000 4.501
Sb 0.000 2.948 6.752
Sb 2.553 1.474 2.251
O -0.849 1.599 1.194
O -1.593 2.886 3.307
O 0.849 1.599 3.307
O -0.743 4.358 1.194
O 1.810 0.064 5.695
O 0.960 1.535 7.809
O 1.593 2.886 1.194
O 0.743 4.358 3.307
O 3.296 0.064 7.809
O 1.703 2.822 5.695
O 4.145 1.535 5.695
O 3.402 2.822 7.809
```

As for the space-group type: No. 163. The calculation puts the total energy at -6.58 eV per atom. The crystal system is trigonal.